# TlCrBr3

An optimized crystal structure of TlCrBr3 (PBE, Alexandria via LeMat-Bulk).

Cell lengths 5.7285, 5.7285, 5.7285 Å; angles 90.00, 90.00, 90.00 degrees
Last column: nearest neighbours and their distance in Å.
Atoms (fractional coordinates):
Tl 0.0000 0.0000 0.0000  6 Br 2.86
Cr 0.5000 0.5000 0.5000  12 Br 4.05
Br 0.0000 0.0000 0.5000  2 Tl 2.86
Br 0.0000 0.5000 0.0000  2 Tl 2.86
Br 0.5000 0.0000 0.0000  2 Tl 2.86

Properties
total moment = 0.992 μB per atom
DOS at the Fermi energy = 12.46 states/eV per cell
symmetry = Pm-3m (221)
E above lowest polymorph = 829 meV/atom